1.
An optimized crystal structure of Sr3Tc, computed with PBE.

a = 3.756 Å, b = 3.756 Å, c = 10.674 Å
α = 90.00°, β = 90.00°, γ = 90.00°
Fractional positions:
Sr  0.000  0.000  0.000
Sr  0.500  0.500  0.324
Sr  0.500  0.500  0.676
Tc  0.000  0.000  0.500

As for the magnetization: 1.81 Bohr magnetons per cell. Its space group is P4/mmm, No. 123. For the calculated formation energy, the calculation gives 0.6137 eV per atom.



2.
An optimized crystal structure of CaNb3Mo, computed with PBE.

a = 4.941 Å, b = 4.941 Å, c = 4.941 Å
α = 90.00°, β = 90.00°, γ = 90.00°
Fractional positions:
Ca  0.000  0.000  0.000
Nb  0.000  0.500  0.500
Nb  0.500  0.000  0.500
Nb  0.500  0.500  0.000
Mo  0.500  0.500  0.500

As for the magnetization: 0.00 Bohr magnetons per cell. Its space group is Pm-3m, No. 221. For the calculated formation energy, the calculation gives 0.9252 eV per atom.



3.
An optimized crystal structure of Ce4OsPb2, computed with PBE.

a = 6.391 Å, b = 6.520 Å, c = 9.813 Å
α = 90.00°, β = 100.01°, γ = 90.00°
Fractional positions:
Ce  0.173  0.250  0.094
Ce  0.240  0.526  0.732
Ce  0.240  0.974  0.732
Ce  0.296  0.750  0.393
Ce  0.704  0.250  0.607
Ce  0.760  0.026  0.268
Ce  0.760  0.474  0.268
Ce  0.827  0.750  0.906
Os  0.018  0.750  0.167
Os  0.982  0.250  0.833
Pb  0.203  0.250  0.439
Pb  0.388  0.750  0.045
Pb  0.612  0.250  0.955
Pb  0.797  0.750  0.561

As for the magnetization: 5.70 Bohr magnetons per cell. Its space group is P2_1/m, No. 11. For the calculated formation energy, the calculation gives -0.2596 eV per atom.



4.
An optimized crystal structure of LaSm2Th3S6, computed with PBE.

a = 6.961 Å, b = 6.961 Å, c = 7.072 Å
α = 99.41°, β = 99.41°, γ = 119.67°
Fractional positions:
La  0.000  0.000  0.000
Sm  0.333  0.667  0.000
Sm  0.667  0.333  0.000
Th  0.164  0.836  0.500
Th  0.500  0.500  0.500
Th  0.836  0.164  0.500
S  0.083  0.422  0.249
S  0.258  0.258  0.754
S  0.422  0.083  0.249
S  0.578  0.917  0.751
S  0.742  0.742  0.246
S  0.917  0.578  0.751

As for the magnetization: 0.00 Bohr magnetons per cell. Its space group is C2/m, No. 12. For the uncorrected formation energy, the calculation gives -1.941 eV per atom.



5.
An optimized crystal structure of Rb2Zn2Hg, computed with PBE.

a = 6.338 Å, b = 6.338 Å, c = 6.338 Å
α = 112.49°, β = 112.49°, γ = 103.58°
Fractional positions:
Rb  0.250  0.750  0.500
Rb  0.750  0.250  0.500
Zn  0.158  0.158  0.000
Zn  0.842  0.842  0.000
Hg  0.500  0.500  0.000

As for the magnetization: 0.00 Bohr magnetons per cell. Its space group is I4/mmm, No. 139. For the calculated formation energy, the calculation gives 0.0880 eV per atom.



6.
An optimized crystal structure of TlCoAu2, computed with PBE.

a = 3.238 Å, b = 4.385 Å, c = 5.469 Å
α = 90.00°, β = 105.36°, γ = 90.00°
Fractional positions:
Tl  0.000  0.000  0.000
Co  0.500  0.000  0.500
Au  0.320  0.500  0.724
Au  0.680  0.500  0.276

As for the magnetization: 1.58 Bohr magnetons per cell. Its space group is P2/m, No. 10. For the calculated formation energy, the calculation gives 0.3724 eV per atom.



7.
An optimized crystal structure of ScCuIr, computed with PBE.

a = 4.307 Å, b = 4.307 Å, c = 4.307 Å
α = 60.00°, β = 60.00°, γ = 60.00°
Fractional positions:
Sc  0.000  0.000  0.000
Cu  0.500  0.500  0.500
Ir  0.750  0.750  0.750

As for the magnetization: 0.00 Bohr magnetons per cell. Its space group is F-43m, No. 216. For the calculated formation energy, the calculation gives -0.1758 eV per atom.



8.
An optimized crystal structure of KTbIn2I6, computed with PBE.

a = 8.995 Å, b = 8.995 Å, c = 8.995 Å
α = 57.12°, β = 57.12°, γ = 57.12°
Fractional positions:
K  0.000  0.000  0.000
Tb  0.492  0.492  0.492
In  0.298  0.298  0.298
In  0.806  0.806  0.806
I  0.129  0.692  0.403
I  0.253  0.600  0.844
I  0.403  0.129  0.692
I  0.600  0.844  0.253
I  0.692  0.403  0.129
I  0.844  0.253  0.600

As for the magnetization: 0.00 Bohr magnetons per cell. Its space group is R3, No. 146. For the uncorrected formation energy, the calculation gives -1.037 eV per atom.



9.
An optimized crystal structure of SrP2WS8, computed with PBE.

a = 9.170 Å, b = 9.170 Å, c = 9.170 Å
α = 37.56°, β = 37.56°, γ = 37.56°
Fractional positions:
Sr  0.000  0.000  0.000
P  0.245  0.245  0.245
P  0.755  0.755  0.755
W  0.500  0.500  0.500
S  0.118  0.433  0.783
S  0.217  0.882  0.567
S  0.324  0.324  0.324
S  0.433  0.783  0.118
S  0.567  0.217  0.882
S  0.676  0.676  0.676
S  0.783  0.118  0.433
S  0.882  0.567  0.217

As for the magnetization: 1.75 Bohr magnetons per cell. Its space group is R-3, No. 148. For the uncorrected formation energy, the calculation gives -0.492 eV per atom.



10.
An optimized crystal structure of AsIr2Os, computed with PBE.

a = 8.561 Å, b = 8.561 Å, c = 8.561 Å
α = 19.16°, β = 19.16°, γ = 19.16°
Fractional positions:
As  0.000  0.000  0.000
Ir  0.254  0.254  0.254
Ir  0.498  0.498  0.498
Os  0.747  0.747  0.747

As for the magnetization: 0.00 Bohr magnetons per cell. Its space group is R3m, No. 160. For the calculated formation energy, the calculation gives 0.2589 eV per atom.



11.
An optimized crystal structure of Na2In2Bi, computed with PBE.

a = 5.785 Å, b = 5.785 Å, c = 11.933 Å
α = 100.90°, β = 100.90°, γ = 50.86°
Fractional positions:
Na  0.006  0.006  0.356
Na  0.349  0.349  0.794
Na  0.651  0.651  0.206
Na  0.994  0.994  0.644
In  0.129  0.129  0.967
In  0.340  0.340  0.476
In  0.660  0.660  0.524
In  0.871  0.871  0.033
Bi  0.349  0.349  0.204
Bi  0.651  0.651  0.796

As for the magnetization: 0.00 Bohr magnetons per cell. Its space group is C2/m, No. 12. For the calculated formation energy, the calculation gives -0.1574 eV per atom.



12.
An optimized crystal structure of TlOs5, computed with PBE.

a = 4.421 Å, b = 7.629 Å, c = 7.629 Å
α = 21.34°, β = 90.00°, γ = 90.00°
Fractional positions:
Tl  0.000  0.000  0.000
Os  0.000  0.321  0.321
Os  0.000  0.675  0.675
Os  0.500  0.117  0.117
Os  0.500  0.430  0.430
Os  0.500  0.775  0.775

As for the magnetization: 0.00 Bohr magnetons per cell. Its space group is Amm2, No. 38. For the calculated formation energy, the calculation gives 0.5858 eV per atom.



13.
An optimized crystal structure of LiPdN2O, computed with PBE.

a = 3.819 Å, b = 3.819 Å, c = 4.343 Å
α = 90.00°, β = 90.00°, γ = 90.00°
Fractional positions:
Li  0.000  0.000  0.000
Pd  0.500  0.500  0.500
N  0.000  0.500  0.500
N  0.500  0.000  0.500
O  0.500  0.500  0.000

As for the magnetization: 0.00 Bohr magnetons per cell. Its space group is P4/mmm, No. 123. For the uncorrected formation energy, the calculation gives 1.064 eV per atom.



14.
An optimized crystal structure of SrTeI3, computed with PBE.

a = 6.414 Å, b = 6.414 Å, c = 6.414 Å
α = 90.00°, β = 90.00°, γ = 90.00°
Fractional positions:
Sr  0.000  0.000  0.000
Te  0.500  0.500  0.500
I  0.000  0.000  0.500
I  0.000  0.500  0.000
I  0.500  0.000  0.000

As for the magnetization: 3.00 Bohr magnetons per cell. Its space group is Pm-3m, No. 221. For the uncorrected formation energy, the calculation gives -0.510 eV per atom.



15.
An optimized crystal structure of Tb3Ce2DyAs6, computed with PBE.

a = 9.295 Å, b = 9.295 Å, c = 8.321 Å
α = 102.89°, β = 102.89°, γ = 25.88°
Fractional positions:
Tb  0.000  0.000  0.000
Tb  0.334  0.334  0.666
Tb  0.666  0.666  0.334
Ce  0.334  0.334  0.168
Ce  0.666  0.666  0.832
Dy  0.000  0.000  0.500
As  0.166  0.166  0.085
As  0.166  0.166  0.581
As  0.499  0.499  0.749
As  0.501  0.501  0.251
As  0.834  0.834  0.419
As  0.834  0.834  0.915

As for the magnetization: 1.22 Bohr magnetons per cell. Its space group is C2/m, No. 12. For the calculated formation energy, the calculation gives -1.5044 eV per atom.



16.
An optimized crystal structure of CuSI3, computed with PBE.

a = 5.526 Å, b = 5.526 Å, c = 5.526 Å
α = 90.00°, β = 90.00°, γ = 90.00°
Fractional positions:
Cu  0.000  0.000  0.000
S  0.500  0.500  0.500
I  0.000  0.500  0.500
I  0.500  0.000  0.500
I  0.500  0.500  0.000

As for the magnetization: 0.00 Bohr magnetons per cell. Its space group is Pm-3m, No. 221. For the uncorrected formation energy, the calculation gives 0.625 eV per atom.



17.
An optimized crystal structure of CaCd2Rh, computed with PBE.

a = 3.291 Å, b = 4.031 Å, c = 6.313 Å
α = 90.00°, β = 90.00°, γ = 90.00°
Fractional positions:
Ca  0.000  0.000  0.000
Cd  0.500  0.500  0.284
Cd  0.500  0.500  0.716
Rh  0.000  0.000  0.500

As for the magnetization: 0.00 Bohr magnetons per cell. Its space group is Pmmm, No. 47. For the calculated formation energy, the calculation gives -0.2095 eV per atom.



18.
An optimized crystal structure of MnRe2, computed with PBE.

a = 6.121 Å, b = 6.121 Å, c = 3.917 Å
α = 90.00°, β = 90.00°, γ = 120.00°
Fractional positions:
Mn  0.000  0.000  0.000
Mn  0.333  0.667  0.500
Mn  0.667  0.333  0.500
Re  0.000  0.255  0.500
Re  0.000  0.588  0.000
Re  0.255  0.000  0.500
Re  0.412  0.412  0.000
Re  0.588  0.000  0.000
Re  0.745  0.745  0.500

As for the magnetization: 0.00 Bohr magnetons per cell. Its space group is P-62m, No. 189. For the calculated formation energy, the calculation gives 0.2993 eV per atom.



19.
An optimized crystal structure of Sm2GaFe2Co5, computed with PBE.

a = 9.121 Å, b = 9.121 Å, c = 3.635 Å
α = 90.00°, β = 90.00°, γ = 90.00°
Fractional positions:
Sm  0.185  0.315  0.000
Sm  0.315  0.815  0.000
Sm  0.685  0.185  0.000
Sm  0.815  0.685  0.000
Ga  0.000  0.000  0.000
Ga  0.500  0.500  0.000
Fe  0.113  0.613  0.000
Fe  0.387  0.113  0.000
Fe  0.613  0.887  0.000
Fe  0.887  0.387  0.000
Co  0.000  0.500  0.500
Co  0.056  0.791  0.500
Co  0.209  0.056  0.500
Co  0.291  0.556  0.500
Co  0.444  0.291  0.500
Co  0.500  0.000  0.500
Co  0.556  0.709  0.500
Co  0.709  0.444  0.500
Co  0.791  0.944  0.500
Co  0.944  0.209  0.500

As for the magnetization: 20.87 Bohr magnetons per cell. Its space group is P4/mbm, No. 127. For the calculated formation energy, the calculation gives 0.0274 eV per atom.